No. 1
## Li3Mo2P3O12 (SCAN)

Data for a PBEsol-optimized structure of Li3Mo2P3O12.

energy relative to the elements, uncorrected = -2.340 eV per atom
relative energy among the computed polymorphs = 2.5 kJ per mole of atoms
uncorrected energy = -459.404 eV for the cell shown

abc: 8.613 8.613 8.627
angles: 63.07 63.07 61.56
Sites, in units of the cell vectors:
Li (0.307, 0.064, 0.199)
Li (0.064, 0.307, 0.699)
Li (0.635, 0.368, 0.743)
Li (0.368, 0.635, 0.243)
Li (0.938, 0.694, 0.288)
Li (0.694, 0.938, 0.788)
Mo (0.641, 0.148, 0.129)
Mo (0.148, 0.641, 0.629)
Mo (0.853, 0.361, 0.357)
Mo (0.361, 0.853, 0.857)
P (0.756, 0.524, 0.945)
P (0.051, 0.951, 0.243)
P (0.524, 0.756, 0.445)
P (0.477, 0.245, 0.541)
P (0.245, 0.477, 0.041)
P (0.951, 0.051, 0.743)
O (0.897, 0.981, 0.177)
O (0.981, 0.897, 0.677)
O (0.944, 0.520, 0.796)
O (0.616, 0.724, 0.905)
O (0.104, 0.020, 0.809)
O (0.020, 0.104, 0.309)
O (0.058, 0.481, 0.191)
O (0.386, 0.277, 0.081)
O (0.302, 0.615, 0.055)
O (0.755, 0.069, 0.891)
O (0.241, 0.531, 0.849)
O (0.481, 0.058, 0.691)
O (0.277, 0.386, 0.581)
O (0.615, 0.302, 0.555)
O (0.471, 0.760, 0.638)
O (0.933, 0.246, 0.596)
O (0.069, 0.755, 0.391)
O (0.531, 0.241, 0.349)
O (0.386, 0.699, 0.431)
O (0.724, 0.616, 0.405)
O (0.520, 0.944, 0.296)
O (0.760, 0.471, 0.138)
O (0.246, 0.933, 0.096)
O (0.699, 0.386, 0.931)

No. 2
## ScSnPt (SCAN)

Data for a PBEsol-optimized structure of ScSnPt.

uncorrected energy = -743.852 eV for the cell shown

abc: 7.235 7.386 7.386
angles: 120.00 90.00 90.00
Sites, in units of the cell vectors:
Sc (0.750, 0.595, 0.615)
Sc (0.750, 0.385, 0.980)
Sc (0.750, 0.020, 0.405)
Sc (0.250, 0.615, 0.595)
Sc (0.250, 0.405, 0.020)
Sc (0.250, 0.980, 0.385)
Sn (0.000, 0.725, 0.000)
Sn (0.000, 0.000, 0.725)
Sn (0.500, 0.000, 0.725)
Sn (0.500, 0.275, 0.275)
Sn (0.500, 0.725, 0.000)
Sn (0.000, 0.275, 0.275)
Pt (0.250, 0.000, 0.000)
Pt (0.750, 0.000, 0.000)
Pt (0.039, 0.333, 0.667)
Pt (0.539, 0.667, 0.333)
Pt (0.961, 0.667, 0.333)
Pt (0.461, 0.333, 0.667)

No. 3
## ZnBr2 (SCAN)

Data for a PBEsol-optimized structure of ZnBr2.

energy relative to the elements, uncorrected = -0.892 eV per atom
uncorrected energy = -55.111 eV for the cell shown

abc: 3.708 3.708 6.772
angles: 74.11 74.11 60.00
Sites, in units of the cell vectors:
Zn (0.000, 0.000, 0.000)
Br (0.257, 0.257, 0.230)
Br (0.743, 0.743, 0.770)

No. 4
## Sb3BrCl (SCAN)

Data for a PBEsol-optimized structure of Sb3BrCl.

energy relative to the elements, uncorrected = 0.905 eV per atom
uncorrected energy = -134.697 eV for the cell shown

abc: 5.314 5.314 5.314
angles: 90.00 90.00 90.00
Sites, in units of the cell vectors:
Sb (0.000, 0.500, 0.000)
Sb (0.000, 0.000, 0.500)
Sb (0.500, 0.000, 0.000)
Br (0.500, 0.500, 0.500)
Cl (0.000, 0.000, 0.000)

No. 5
## K3SrPt (SCAN)

Data for a PBEsol-optimized structure of K3SrPt.

relative energy among the computed polymorphs = 0.0 kJ per mole of atoms
uncorrected energy = -116.515 eV for the cell shown

abc: 6.221 6.221 6.221
angles: 90.00 90.00 90.00
Sites, in units of the cell vectors:
Sr (0.500, 0.500, 0.500)
K (0.000, 0.500, 0.000)
K (0.000, 0.000, 0.500)
K (0.500, 0.000, 0.000)
Pt (0.000, 0.000, 0.000)

No. 6
## ZrFePb3 (SCAN)

Data for a PBEsol-optimized structure of ZrFePb3.

uncorrected energy = -273.034 eV for the cell shown

abc: 5.011 5.011 5.011
angles: 90.00 90.00 90.00
Sites, in units of the cell vectors:
Pb (0.000, 0.500, 0.000)
Pb (0.000, 0.000, 0.500)
Pb (0.500, 0.000, 0.000)
Fe (0.000, 0.000, 0.000)
Zr (0.500, 0.500, 0.500)

No. 7
## Co3ReBr (SCAN)

Data for a PBEsol-optimized structure of Co3ReBr.

energy relative to the elements, uncorrected = 1.815 eV per atom
uncorrected energy = -133.395 eV for the cell shown

abc: 4.184 4.184 4.184
angles: 90.00 90.00 90.00
Sites, in units of the cell vectors:
Re (0.500, 0.500, 0.500)
Co (0.000, 0.500, 0.000)
Co (0.000, 0.000, 0.500)
Co (0.500, 0.000, 0.000)
Br (0.000, 0.000, 0.000)

No. 8
## Zn2SbIr (SCAN)

Data for a PBEsol-optimized structure of Zn2SbIr.

energy relative to the elements, uncorrected = 0.150 eV per atom
relative energy among the computed polymorphs = 15.0 kJ per mole of atoms
uncorrected energy = -134.788 eV for the cell shown

abc: 3.088 4.567 4.760
angles: 90.00 90.00 93.59
Sites, in units of the cell vectors:
Ir (0.000, 0.000, 0.500)
Sb (0.500, 0.500, 0.500)
Zn (0.239, 0.231, 0.000)
Zn (0.761, 0.769, 0.000)

No. 9
## CrCoNi2 (SCAN)

Data for a PBEsol-optimized structure of CrCoNi2.

uncorrected energy = -67.427 eV for the cell shown

abc: 3.897 3.897 3.897
angles: 60.00 60.00 60.00
Sites, in units of the cell vectors:
Co (0.500, 0.500, 0.500)
Cr (0.750, 0.750, 0.750)
Ni (0.000, 0.000, 0.000)
Ni (0.250, 0.250, 0.250)

No. 10
## MgCo4Cu3O12 (SCAN)

Data for a PBEsol-optimized structure of MgCo4Cu3O12.

energy relative to the elements, uncorrected = -1.247 eV per atom
uncorrected energy = -219.499 eV for the cell shown

abc: 6.071 6.071 6.071
angles: 109.47 109.47 109.47
Sites, in units of the cell vectors:
Mg (0.000, 0.000, 0.000)
Co (0.000, 0.000, 0.500)
Co (0.500, 0.500, 0.500)
Co (0.500, 0.000, 0.000)
Co (0.000, 0.500, 0.000)
Cu (0.500, 0.000, 0.500)
Cu (0.500, 0.500, 0.000)
Cu (0.000, 0.500, 0.500)
O (0.700, 0.527, 0.827)
O (0.300, 0.473, 0.173)
O (0.300, 0.128, 0.827)
O (0.527, 0.827, 0.700)
O (0.827, 0.300, 0.128)
O (0.173, 0.300, 0.473)
O (0.128, 0.827, 0.300)
O (0.173, 0.700, 0.872)
O (0.700, 0.872, 0.173)
O (0.473, 0.173, 0.300)
O (0.827, 0.700, 0.527)
O (0.872, 0.173, 0.700)

No. 11
## ErAgS2 (SCAN)

Data for a PBEsol-optimized structure of ErAgS2.

energy relative to the elements, uncorrected = -1.500 eV per atom
uncorrected energy = -213.929 eV for the cell shown

abc: 5.300 5.300 6.963
angles: 112.37 112.37 90.00
Sites, in units of the cell vectors:
S (0.264, 0.764, 0.527)
S (0.014, 0.014, 0.027)
S (0.722, 0.222, 0.445)
S (0.472, 0.472, 0.945)
Ag (0.040, 0.540, 0.081)
Ag (0.790, 0.790, 0.581)
Er (0.495, 0.995, 0.990)
Er (0.245, 0.245, 0.490)

No. 12
## ReMoW (SCAN)

Data for a PBEsol-optimized structure of ReMoW.

relative energy among the computed polymorphs = 0.3 kJ per mole of atoms
uncorrected energy = -175.607 eV for the cell shown

abc: 2.716 4.401 4.401
angles: 120.00 90.00 90.00
Sites, in units of the cell vectors:
Re (0.659, 0.333, 0.667)
Mo (0.006, 0.000, 0.000)
W (0.335, 0.667, 0.333)

Among the records above, which one has the highest uncorrected energy? ZnBr2